Record 1
# Mn5BeAl2B2

A relaxed Mn5BeAl2B2 crystal (PBE-GGA, Alexandria).

Cell and atoms, written as CIF:
```
data_Mn5BeAl2B2
_cell_length_a 8.657
_cell_length_b 8.657
_cell_length_c 2.795
_cell_angle_alpha 90.00
_cell_angle_beta 90.00
_cell_angle_gamma 90.00
_symmetry_space_group_name_H-M 'P 4/m b m'
_symmetry_Int_Tables_number 127
_symmetry_space_group_name_Hall '-P 4 2ab'
loop_
_atom_site_label
_atom_site_fract_x
_atom_site_fract_y
_atom_site_fract_z
_atom_site_occupancy
Mn1 0.000 0.500 0.000 1
Mn2 0.065 0.206 0.000 1
Be1 0.000 0.000 0.500 1
Al1 0.177 0.677 0.500 1
B1 0.128 0.372 0.500 1
```

---

Record 2
# BeAl2Ni5B2

A relaxed BeAl2Ni5B2 crystal (PBE-GGA, Alexandria).

Cell and atoms, written as CIF:
```
data_BeAl2Ni5B2
_cell_length_a 8.397
_cell_length_b 8.397
_cell_length_c 2.824
_cell_angle_alpha 90.00
_cell_angle_beta 90.00
_cell_angle_gamma 90.00
_symmetry_space_group_name_H-M 'P 4/m b m'
_symmetry_Int_Tables_number 127
_symmetry_space_group_name_Hall '-P 4 2ab'
loop_
_atom_site_label
_atom_site_fract_x
_atom_site_fract_y
_atom_site_fract_z
_atom_site_occupancy
Be1 0.000 0.000 0.000 1
Al1 0.176 0.324 0.000 1
Ni1 0.000 0.500 0.500 1
Ni2 0.068 0.791 0.500 1
B1 0.127 0.627 0.000 1
```

---

Record 3
# Be2Al2Ni5B

A relaxed Be2Al2Ni5B crystal (PBE-GGA, Alexandria).

Cell and atoms, written as CIF:
```
data_Be2Al2Ni5B
_cell_length_a 8.674
_cell_length_b 8.674
_cell_length_c 2.698
_cell_angle_alpha 90.00
_cell_angle_beta 90.00
_cell_angle_gamma 90.00
_symmetry_space_group_name_H-M 'P 4/m b m'
_symmetry_Int_Tables_number 127
_symmetry_space_group_name_Hall '-P 4 2ab'
loop_
_atom_site_label
_atom_site_fract_x
_atom_site_fract_y
_atom_site_fract_z
_atom_site_occupancy
Be1 0.132 0.368 0.000 1
Al1 0.173 0.673 0.000 1
Ni1 0.000 0.500 0.500 1
Ni2 0.057 0.189 0.500 1
B1 0.000 0.000 0.000 1
```

---

Record 4
# Np2BeAl2B4

A relaxed Np2BeAl2B4 crystal (PBE-GGA, Alexandria).

Cell and atoms, written as CIF:
```
data_Np2BeAl2B4
_cell_length_a 5.560
_cell_length_b 5.560
_cell_length_c 7.372
_cell_angle_alpha 90.00
_cell_angle_beta 90.00
_cell_angle_gamma 90.00
_symmetry_space_group_name_H-M 'I 4/m m m'
_symmetry_Int_Tables_number 139
_symmetry_space_group_name_Hall '-I 4 2'
loop_
_atom_site_label
_atom_site_fract_x
_atom_site_fract_y
_atom_site_fract_z
_atom_site_occupancy
Np1 0.000 0.500 0.250 1
Be1 0.000 0.000 0.000 1
Al1 0.000 0.000 0.317 1
B1 0.225 0.225 0.500 1
```

---

Asked for formation enthalpy at 0 K across the records above, the calculation gives -264; -414; -342; 332 meV/atom in order.
Asked for total magnetic moment across the records above, the calculation gives 0.936; 0.000; 0.000; 0.661 μB/atom in order.